Entry 1:
Material: Tb3Pm3NdTe8
Method: DFT, PBE
State: optimized geometry

abc: 8.809 8.808 8.816
angles: 119.97 90.00 120.00
Sites, in units of the cell vectors:
Tb (0.500, 0.500, 0.500)
Tb (0.000, 0.500, 0.500)
Tb (0.500, 0.000, 0.500)
Te (0.748, 0.495, 0.743)
Te (0.259, 0.518, 0.754)
Te (0.252, 0.505, 0.257)
Te (0.741, 0.005, 0.246)
Te (0.736, 0.995, 0.754)
Te (0.741, 0.482, 0.246)
Te (0.264, 0.005, 0.246)
Te (0.259, 0.995, 0.754)
Nd (0.000, 0.000, 0.500)
Pm (0.000, 0.500, 0.000)
Pm (0.000, 0.000, 0.000)
Pm (0.500, 0.500, 0.000)

Results
Final energy ... -79.4 eV per cell
Total moment ... 0.0 μB/cell
N(E_F) ... 6.9 states/eV/f.u.

---

Entry 2:
Material: TbPm2NdTe5
Method: DFT, PBE
State: optimized geometry

abc: 5.554 5.554 11.834
angles: 90.00 90.00 90.00
Sites, in units of the cell vectors:
Te (0.500, 0.500, 0.000)
Te (0.000, 0.500, 0.500)
Te (0.000, 0.000, 0.249)
Te (0.000, 0.000, 0.751)
Te (0.500, 0.000, 0.500)
Pm (0.500, 0.500, 0.347)
Pm (0.500, 0.500, 0.653)
Tb (0.000, 0.000, 0.500)
Nd (0.000, 0.000, 0.000)

Results
Final energy ... -41.8 eV per cell
Total moment ... 0.6 μB/cell
N(E_F) ... 4.6 states/eV/f.u.